First-principles (PBE) data for an optimized crystal structure of CdCo2W, as listed in Alexandria via LeMat-Bulk.

abc: 2.736 4.155 5.151
angles: 90.00 105.25 90.00
Positions (direct):
1 Cd 0.000 0.000 0.000
2 Co 0.604 0.500 0.207
3 Co 0.735 0.000 0.474
4 W 0.323 0.500 0.650

E_tot in eV/f.u.: -26.47
Formation energy from the elements in eV/f.u.: 1.61
DOS at the Fermi energy in states/eV per atom: 1.4211

First-principles (PBE) data for an optimized crystal structure of Sr2BeMoI, as listed in Alexandria via LeMat-Bulk.

abc: 6.173 6.173 4.796
angles: 90.00 90.00 90.00
Positions (direct):
1 Sr 0.000 0.500 0.000
2 Sr 0.500 0.000 0.000
3 Be 0.000 0.000 0.500
4 Mo 0.500 0.500 0.500
5 I 0.000 0.000 0.000

E_tot in eV/f.u.: -13.98
DOS at the Fermi energy in states/eV per atom: 0.6701
Energy relative to the elements, uncorrected in meV/atom: 1099

First-principles (PBE) data for an optimized crystal structure of TmFe12P6, as listed in Alexandria via LeMat-Bulk.

abc: 6.423 6.423 6.423
angles: 104.92 104.92 104.92
Positions (direct):
1 Tm 0.000 0.000 0.000
2 Fe 0.135 0.500 0.865
3 Fe 0.135 0.865 0.500
4 Fe 0.186 0.446 0.446
5 Fe 0.446 0.186 0.446
6 Fe 0.446 0.446 0.186
7 Fe 0.500 0.135 0.865
8 Fe 0.500 0.865 0.135
9 Fe 0.554 0.554 0.814
10 Fe 0.554 0.814 0.554
11 Fe 0.814 0.554 0.554
12 Fe 0.865 0.135 0.500
13 Fe 0.865 0.500 0.135
14 P 0.234 0.234 0.678
15 P 0.234 0.678 0.234
16 P 0.322 0.766 0.766
17 P 0.678 0.234 0.234
18 P 0.766 0.322 0.766
19 P 0.766 0.766 0.322

E_tot in eV/f.u.: -147.50
Formation energy from the elements in eV/f.u.: -9.02
DOS at the Fermi energy in states/eV per atom: 0.9195